Model P:
# LaZn2NiHg | Alexandria | PBE-GGA | relaxed
data_LaZn2NiHg
_chemical_formula_sum 'La1 Zn2 Ni1 Hg1'
_space_group_name_H-M_alt 'P 1'
_space_group_IT_number 1
_cell_length_a 4.745
_cell_length_b 4.745
_cell_length_c 4.995
_cell_angle_alpha 90.00
_cell_angle_beta 90.00
_cell_angle_gamma 90.00
loop_
_space_group_symop_operation_xyz
'x,y,z'
loop_
_atom_site_label
_atom_site_fract_x
_atom_site_fract_y
_atom_site_fract_z
La1 0.000 0.000 0.500
Hg1 0.500 0.500 0.500
Ni1 0.000 0.000 0.000
Zn1 0.000 0.500 0.000
Zn2 0.500 0.000 0.000
# - Size of the total moment: 0.00 μB per formula unit



Model Q:
# LaZn2NiHg | Alexandria | PBE-GGA | relaxed
data_LaZn2NiHg
_chemical_formula_sum 'La1 Zn2 Ni1 Hg1'
_space_group_name_H-M_alt 'P 1'
_space_group_IT_number 1
_cell_length_a 4.663
_cell_length_b 4.663
_cell_length_c 4.968
_cell_angle_alpha 90.00
_cell_angle_beta 90.00
_cell_angle_gamma 90.00
loop_
_space_group_symop_operation_xyz
'x,y,z'
loop_
_atom_site_label
_atom_site_fract_x
_atom_site_fract_y
_atom_site_fract_z
Zn1 0.000 0.500 0.000
Zn2 0.500 0.000 0.000
La1 0.500 0.500 0.500
Hg1 0.000 0.000 0.500
Ni1 0.000 0.000 0.000
# - Size of the total moment: 0.00 μB per formula unit



What should be chosen as the least stable of them? Choose model Q.